Entry 1:
# Er3PuO7

An optimized crystal structure of Er3PuO7 (PBE-GGA, the Alexandria database).

Summary:
D(E_F) ... 13.546 states/eV/cell
Space-group type ... Cmcm, No. 63
E ... -9.0586 eV/atom
ΔE_f (raw) ... -3356.0 meV per atom

Cell lengths 6.5177, 6.5177, 7.6137 Å; angles 90.00, 90.00, 109.80 degrees
With the nearest neighbours (Å) after each atom.
Fractional positions:
O  0.0865  0.3382  0.5301  1 Pu 2.09, 1 Er 2.27
O  0.9039  0.0961  0.2500  2 Pu 2.16, 2 Er 2.29
O  0.9135  0.6618  0.0301  1 Pu 2.09, 1 Er 2.27
O  0.6618  0.9135  0.9699  1 Pu 2.09, 1 Er 2.27
O  0.3382  0.0865  0.4699  1 Pu 2.09, 1 Er 2.27
O  0.0961  0.9039  0.7500  2 Pu 2.16, 2 Er 2.29
O  0.9136  0.6620  0.4697  1 Pu 2.09, 1 Er 2.27
O  0.6620  0.9136  0.5303  1 Pu 2.09, 1 Er 2.27
O  0.6337  0.3663  0.7500  4 Er 2.29-2.38
O  0.3664  0.6336  0.7500  4 Er 2.22-2.38
O  0.3380  0.0864  0.0303  1 Pu 2.09, 1 Er 2.27
O  0.3663  0.6337  0.2500  4 Er 2.29-2.38
O  0.6336  0.3664  0.2500  4 Er 2.22-2.38
O  0.0864  0.3380  0.9697  1 Pu 2.09, 1 Er 2.27
Er  0.5325  0.0044  0.2500  7 O 2.22-2.44
Er  0.5003  0.5003  0.0000  8 O 2.38-2.55
Er  0.0044  0.5325  0.7500  7 O 2.22-2.44
Er  0.4675  0.9956  0.7500  7 O 2.22-2.44
Er  0.4997  0.4997  0.5000  8 O 2.38-2.55
Er  0.9956  0.4675  0.2500  7 O 2.22-2.44
Pu  0.0000  0.0000  0.5000  6 O 2.09-2.16
Pu  0.0000  0.0000  0.0000  6 O 2.09-2.16

Entry 2:
# Er2PuO8

An optimized crystal structure of Er2PuO8 (PBE-GGA, the Alexandria database).

Summary:
D(E_F) ... 3.519 states/eV/cell
Space-group type ... C2/m, No. 12
E ... -7.9636 eV/atom
ΔE_f (raw) ... -2225.2 meV per atom

Cell lengths 3.6639, 5.2481, 7.6048 Å; angles 107.93, 103.94, 90.00 degrees
With the nearest neighbours (Å) after each atom.
Fractional positions:
Er  0.8172  0.2723  0.6343  7 O 2.24-2.39
Er  0.1829  0.7277  0.3657  7 O 2.24-2.39
O  0.5780  0.3512  0.1561  1 Pu 1.84
O  0.9560  0.1536  0.9121  2 Pu 2.18, 1 Er 2.32, 1 O 2.37
O  0.3309  0.0343  0.6618  3 Er 2.26-2.27
O  0.4220  0.6488  0.8439  1 Pu 1.84
O  0.2270  0.3572  0.4540  3 Er 2.24-2.39, 2 O 2.33
O  0.7730  0.6428  0.5460  3 Er 2.24-2.39, 2 O 2.33
O  0.0440  0.8464  0.0879  2 Pu 2.18, 1 Er 2.32, 1 O 2.37
O  0.6691  0.9657  0.3382  3 Er 2.26-2.27
Pu  0.5000  0.0000  0.0000  2 O 1.84

Q: What is the formula in the first record?
A: Er3PuO7

What did the first record say?
# Er3PuO7

An optimized crystal structure of Er3PuO7 (PBE-GGA, the Alexandria database).

Summary:
D(E_F) ... 13.546 states/eV/cell
Space-group type ... Cmcm, No. 63
E ... -9.0586 eV/atom
ΔE_f (raw) ... -3356.0 meV per atom

Cell lengths 6.5177, 6.5177, 7.6137 Å; angles 90.00, 90.00, 109.80 degrees
With the nearest neighbours (Å) after each atom.
Fractional positions:
O  0.0865  0.3382  0.5301  1 Pu 2.09, 1 Er 2.27
O  0.9039  0.0961  0.2500  2 Pu 2.16, 2 Er 2.29
O  0.9135  0.6618  0.0301  1 Pu 2.09, 1 Er 2.27
O  0.6618  0.9135  0.9699  1 Pu 2.09, 1 Er 2.27
O  0.3382  0.0865  0.4699  1 Pu 2.09, 1 Er 2.27
O  0.0961  0.9039  0.7500  2 Pu 2.16, 2 Er 2.29
O  0.9136  0.6620  0.4697  1 Pu 2.09, 1 Er 2.27
O  0.6620  0.9136  0.5303  1 Pu 2.09, 1 Er 2.27
O  0.6337  0.3663  0.7500  4 Er 2.29-2.38
O  0.3664  0.6336  0.7500  4 Er 2.22-2.38
O  0.3380  0.0864  0.0303  1 Pu 2.09, 1 Er 2.27
O  0.3663  0.6337  0.2500  4 Er 2.29-2.38
O  0.6336  0.3664  0.2500  4 Er 2.22-2.38
O  0.0864  0.3380  0.9697  1 Pu 2.09, 1 Er 2.27
Er  0.5325  0.0044  0.2500  7 O 2.22-2.44
Er  0.5003  0.5003  0.0000  8 O 2.38-2.55
Er  0.0044  0.5325  0.7500  7 O 2.22-2.44
Er  0.4675  0.9956  0.7500  7 O 2.22-2.44
Er  0.4997  0.4997  0.5000  8 O 2.38-2.55
Er  0.9956  0.4675  0.2500  7 O 2.22-2.44
Pu  0.0000  0.0000  0.5000  6 O 2.09-2.16
Pu  0.0000  0.0000  0.0000  6 O 2.09-2.16

Q: Which value of E does entry 2 give?
A: -7.9636 eV/atom